Record 1
Here is a relaxed structure of CaMnCuSi from the Alexandria database. Energies are from PBE.

For the formation energy without anion corrections, the calculation gives 54 meV per atom. The relative energy among the computed polymorphs is 207 meV per atom. As for the density of states at the Fermi level: 2.6 states/eV/cell. The value obtained for the density is 4.1 g cm⁻³. The space-group type is No. 44. For the volume, the calculation gives 18.82 Å³/atom.

a = 6.6465 Å, b = 6.6465 Å, c = 6.6465 Å
α = 150.28°, β = 148.76°, γ = 43.66°
Sites, in units of the cell vectors:
1 Ca 0.0000 0.0000 0.0000
2 Mn 0.7194 0.2194 0.5000
3 Cu 0.3697 0.3697 0.0000
4 Si 0.2312 0.7312 0.5000

***

Record 2
Here is a relaxed structure of LaMg9Tl2 from the Alexandria database. Energies are from PBE.

Its total energy is -49.72 eV/cell. As for the density of states at the Fermi level: 11.4 states/eV/cell. The value obtained for the density is 4.3 g cm⁻³. The space-group type is No. 141. For the volume, the calculation gives 24.73 Å³/atom.

a = 9.5225 Å, b = 9.5225 Å, c = 9.5225 Å
α = 99.93°, β = 99.93°, γ = 130.92°
Sites, in units of the cell vectors:
1 La 0.3750 0.6250 0.7500
2 La 0.6250 0.3750 0.2500
3 Mg 0.1250 0.8750 0.2500
4 Mg 0.1264 0.5524 0.3317
5 Mg 0.1264 0.7948 0.5741
6 Mg 0.2052 0.2793 0.3317
7 Mg 0.2052 0.8736 0.9259
8 Mg 0.2793 0.2052 0.8317
9 Mg 0.2793 0.4476 0.0741
10 Mg 0.4476 0.2793 0.5741
11 Mg 0.4476 0.8736 0.1683
12 Mg 0.5524 0.1264 0.8317
13 Mg 0.5524 0.7207 0.4259
14 Mg 0.7207 0.5524 0.9259
15 Mg 0.7207 0.7948 0.1683
16 Mg 0.7948 0.1264 0.0741
17 Mg 0.7948 0.7207 0.6683
18 Mg 0.8736 0.2052 0.4259
19 Mg 0.8736 0.4476 0.6683
20 Mg 0.8750 0.1250 0.7500
21 Tl 0.0000 0.0000 0.0000
22 Tl 0.0000 0.0000 0.5000
23 Tl 0.0000 0.5000 0.0000
24 Tl 0.5000 0.0000 0.5000

***

Record 3
Here is a relaxed structure of CaTbAgCl6 from the Alexandria database. Energies are from PBE.

For the formation energy without anion corrections, the calculation gives -1894 meV per atom. As for the density of states at the Fermi level: 0.0 states/eV/cell. The value obtained for the density is 3.4 g cm⁻³. The space-group type is No. 163. For the volume, the calculation gives 28.02 Å³/atom.

a = 6.9380 Å, b = 6.9380 Å, c = 12.1004 Å
α = 90.00°, β = 90.00°, γ = 120.00°
Sites, in units of the cell vectors:
1 Ca 0.3333 0.6667 0.2500
2 Ca 0.6667 0.3333 0.7500
3 Tb 0.3333 0.6667 0.7500
4 Tb 0.6667 0.3333 0.2500
5 Ag 0.0000 0.0000 0.0000
6 Ag 0.0000 0.0000 0.5000
7 Cl 0.0095 0.3500 0.6279
8 Cl 0.0095 0.6595 0.8721
9 Cl 0.3405 0.3500 0.8721
10 Cl 0.3405 0.9905 0.6279
11 Cl 0.3500 0.0095 0.1279
12 Cl 0.3500 0.3405 0.3721
13 Cl 0.6500 0.6595 0.6279
14 Cl 0.6500 0.9905 0.8721
15 Cl 0.6595 0.0095 0.3721
16 Cl 0.6595 0.6500 0.1279
17 Cl 0.9905 0.3405 0.1279
18 Cl 0.9905 0.6500 0.3721

***

Record 4
Here is a relaxed structure of CdIr5 from the Alexandria database. Energies are from PBE.

Its total energy is -42.70 eV/cell. As for the density of states at the Fermi level: 9.6 states/eV/cell. The value obtained for the density is 17.2 g cm⁻³. The space-group type is No. 191. For the volume, the calculation gives 17.23 Å³/atom.

a = 5.1782 Å, b = 5.1782 Å, c = 4.4510 Å
α = 90.00°, β = 90.00°, γ = 120.00°
Sites, in units of the cell vectors:
1 Cd 0.0000 0.0000 0.0000
2 Ir 0.0000 0.5000 0.5000
3 Ir 0.3333 0.6667 0.0000
4 Ir 0.5000 0.0000 0.5000
5 Ir 0.5000 0.5000 0.5000
6 Ir 0.6667 0.3333 0.0000

***

Record 5
Here is a relaxed structure of UBeGe2 from the Alexandria database. Energies are from PBE.

The relative energy among the computed polymorphs is 0 meV per atom. As for the density of states at the Fermi level: 5.1 states/eV/cell. The value obtained for the density is 9.5 g cm⁻³. The space-group type is No. 123. For the volume, the calculation gives 17.20 Å³/atom.

a = 4.1403 Å, b = 4.1403 Å, c = 4.0128 Å
α = 90.00°, β = 90.00°, γ = 90.00°
Sites, in units of the cell vectors:
1 U 0.0000 0.0000 0.0000
2 Be 0.5000 0.5000 0.0000
3 Ge 0.0000 0.5000 0.5000
4 Ge 0.5000 0.0000 0.5000

***

Record 6
Here is a relaxed structure of HfZrH2 from the Alexandria database. Energies are from PBE.

The relative energy among the computed polymorphs is 179 meV per atom. As for the density of states at the Fermi level: 1.6 states/eV/cell. The value obtained for the density is 9.4 g cm⁻³. The space-group type is No. 160. For the volume, the calculation gives 11.99 Å³/atom.

a = 5.9640 Å, b = 5.9640 Å, c = 5.9640 Å
α = 30.34°, β = 30.34°, γ = 30.34°
Sites, in units of the cell vectors:
1 Hf 0.0000 0.0000 0.0000
2 Zr 0.1725 0.1725 0.1725
3 H 0.5829 0.5829 0.5829
4 H 0.7497 0.7497 0.7497

***

Record 7
Here is a relaxed structure of Pm6Ag2Hg from the Alexandria database. Energies are from PBE.

The relative energy among the computed polymorphs is 226 meV per atom. As for the density of states at the Fermi level: 16.1 states/eV/cell. The value obtained for the density is 7.3 g cm⁻³. The space-group type is No. 12. For the volume, the calculation gives 32.71 Å³/atom.

a = 8.9602 Å, b = 8.9602 Å, c = 5.1577 Å
α = 106.66°, β = 106.66°, γ = 48.50°
Sites, in units of the cell vectors:
1 Pm 0.0806 0.5835 0.3319
2 Pm 0.2462 0.7538 0.0000
3 Pm 0.4165 0.9194 0.6681
4 Pm 0.5835 0.0806 0.3319
5 Pm 0.7538 0.2462 0.0000
6 Pm 0.9194 0.4165 0.6681
7 Ag 0.1674 0.1674 0.1675
8 Ag 0.8326 0.8326 0.8325
9 Hg 0.5000 0.5000 0.5000

***

What is the volume in the third record? 28.02 Å³/atom

***

The highest density of states at the Fermi level belongs to which entry? Pm6Ag2Hg

***

What did the fourth record say?
Here is a relaxed structure of CdIr5 from the Alexandria database. Energies are from PBE.

Its total energy is -42.70 eV/cell. As for the density of states at the Fermi level: 9.6 states/eV/cell. The value obtained for the density is 17.2 g cm⁻³. The space-group type is No. 191. For the volume, the calculation gives 17.23 Å³/atom.

a = 5.1782 Å, b = 5.1782 Å, c = 4.4510 Å
α = 90.00°, β = 90.00°, γ = 120.00°
Sites, in units of the cell vectors:
1 Cd 0.0000 0.0000 0.0000
2 Ir 0.0000 0.5000 0.5000
3 Ir 0.3333 0.6667 0.0000
4 Ir 0.5000 0.0000 0.5000
5 Ir 0.5000 0.5000 0.5000
6 Ir 0.6667 0.3333 0.0000

***

Which formula does entry 4 have? CdIr5